No. 1
DFT (PBE) results for FeAgGe after structural relaxation. Values from VASP.

Computed properties:
Final energy ... -13.96 eV/f.u.

Structure (Quantum ESPRESSO input):
```
&SYSTEM
  ibrav = 0, nat = 12, ntyp = 3
/
ATOMIC_SPECIES
Fe 55.84 Fe.upf
Ag 107.87 Ag.upf
Ge 72.64 Ge.upf
CELL_PARAMETERS angstrom
6.0492 0.0000 0.0000
0.0000 6.0492 0.0000
0.0000 0.0000 6.0492
ATOMIC_POSITIONS crystal
Fe 0.0000 0.0000 0.0000
Fe 0.0000 0.5000 0.5000
Fe 0.5000 0.0000 0.5000
Fe 0.5000 0.5000 0.0000
Ag 0.2500 0.2500 0.2500
Ag 0.2500 0.7500 0.7500
Ag 0.7500 0.2500 0.7500
Ag 0.7500 0.7500 0.2500
Ge 0.0000 0.0000 0.5000
Ge 0.0000 0.5000 0.0000
Ge 0.5000 0.0000 0.0000
Ge 0.5000 0.5000 0.5000
```

=====

No. 2
DFT (PBE) results for ZrCoAsIr after structural relaxation. Values from VASP.

Computed properties:
Final energy ... -30.20 eV/f.u.
Energy above the lowest structure with this stoichiometry ... 0.0000 eV/atom

Structure (Quantum ESPRESSO input):
```
&SYSTEM
  ibrav = 0, nat = 16, ntyp = 4
/
ATOMIC_SPECIES
Zr 91.22 Zr.upf
Co 58.93 Co.upf
As 74.92 As.upf
Ir 192.22 Ir.upf
CELL_PARAMETERS angstrom
6.3373 0.0000 0.0000
0.0000 6.3373 0.0000
0.0000 0.0000 6.3373
ATOMIC_POSITIONS crystal
Zr 0.0000 0.0000 0.0000
Zr 0.0000 0.5000 0.5000
Zr 0.5000 0.0000 0.5000
Zr 0.5000 0.5000 0.0000
Co 0.2500 0.2500 0.7500
Co 0.2500 0.7500 0.2500
Co 0.7500 0.2500 0.2500
Co 0.7500 0.7500 0.7500
As 0.0000 0.0000 0.5000
As 0.0000 0.5000 0.0000
As 0.5000 0.0000 0.0000
As 0.5000 0.5000 0.5000
Ir 0.2500 0.2500 0.2500
Ir 0.2500 0.7500 0.7500
Ir 0.7500 0.2500 0.7500
Ir 0.7500 0.7500 0.2500
```

=====

No. 3
DFT (PBE) results for SnAu2S3 after structural relaxation. Values from VASP.

Computed properties:
Final energy ... -23.32 eV/f.u.

Structure (Quantum ESPRESSO input):
```
&SYSTEM
  ibrav = 0, nat = 12, ntyp = 3
/
ATOMIC_SPECIES
Sn 118.71 Sn.upf
Au 196.97 Au.upf
S 32.06 S.upf
CELL_PARAMETERS angstrom
1.8283 -7.2215 0.0000
1.8283 7.2215 0.0000
0.0000 0.0000 11.5845
ATOMIC_POSITIONS crystal
Sn 0.2147 0.7853 0.7500
Sn 0.7853 0.2147 0.2500
Au 0.1103 0.8897 0.2500
Au 0.5000 0.5000 0.0000
Au 0.5000 0.5000 0.5000
Au 0.8897 0.1103 0.7500
S 0.1039 0.8961 0.0466
S 0.1039 0.8961 0.4534
S 0.4025 0.5975 0.2500
S 0.5975 0.4025 0.7500
S 0.8961 0.1039 0.5466
S 0.8961 0.1039 0.9534
```